Here is a relaxed TbDy4TmS8 crystal from the Alexandria database. Energies are from PBE.

Results
* spin magnetization: 0.0 μB/cell
* raw formation energy: -1.9309 eV per atom
* SG: R3m, No. 160
* calculated volume: 367 Å³/f.u.

Cell lengths 8.040, 8.040, 8.025 Å; angles 59.94, 59.94, 60.00 degrees
Element x y z (fractional)
Tb 0.375 0.375 0.874
S 0.757 0.757 0.729
S 0.242 0.242 0.273
S 0.239 0.776 0.746
S 0.760 0.760 0.254
S 0.776 0.239 0.746
Dy 0.000 0.000 0.500
Tm 0.000 0.000 0.000
Dy 0.500 0.000 0.500
Dy 0.624 0.624 0.127
S 0.239 0.239 0.746
Dy 0.000 0.500 0.500
S 0.226 0.760 0.254
S 0.760 0.226 0.254

***

Here is a relaxed Pr6NdDy2Sc crystal from the Alexandria database. Energies are from PBE.

Results
* spin magnetization: 0.0 μB/cell
* SG: C2/m, No. 12
* DFT formation energy: 0.230 eV per atom
* calculated volume: 350 Å³/f.u.

Cell lengths 8.893, 6.953, 6.759 Å; angles 120.95, 100.61, 90.00 degrees
Element x y z (fractional)
Pr 0.802 0.917 0.323
Dy 0.158 0.092 0.185
Pr 0.198 0.593 0.677
Nd 0.500 0.000 0.000
Pr 0.802 0.407 0.323
Pr 0.401 0.627 0.254
Pr 0.599 0.373 0.746
Pr 0.198 0.083 0.677
Sc 0.000 0.500 0.000
Dy 0.842 0.908 0.815

***

Here is a relaxed CaCoOs2 crystal from the Alexandria database. Energies are from PBE.

Results
* spin magnetization: 1.8 μB/cell
* SG: Imm2, No. 44
* DFT formation energy: 0.635 eV per atom
* calculated volume: 65 Å³/f.u.

Cell lengths 5.539, 5.539, 5.539 Å; angles 150.27, 129.25, 59.93 degrees
Last column: magnetic moment on the atom in μB.
Element x y z (fractional)
Os 0.003 0.003 0.000  0.23
Co 0.222 0.722 0.500  1.44
Os 0.780 0.280 0.500  0.12
Ca 0.495 0.495 0.000  0.00